w | ! RbBiIO2 (PBE-GGA, optimized geometry); values from VASP
! Size of the total moment = 0.0 μB/f.u.
! Space group = P4/mmm, No. 123
&SYSTEM
  ibrav = 0, nat = 5, ntyp = 4
/
ATOMIC_SPECIES
Rb 85.47 Rb.upf
Bi 208.98 Bi.upf
I 126.90 I.upf
O 16.00 O.upf
CELL_PARAMETERS angstrom
4.561 0.000 0.000
0.000 4.561 0.000
0.000 0.000 6.387
ATOMIC_POSITIONS crystal
Rb 0.000 0.000 0.000
Bi 0.500 0.500 0.500
I 0.500 0.500 0.000
O 0.000 0.500 0.500
O 0.500 0.000 0.500

x | ! RbBiIO2 (PBE-GGA, optimized geometry); values from VASP
! Size of the total moment = 1.4 μB/f.u.
! Space group = P4/mmm, No. 123
&SYSTEM
  ibrav = 0, nat = 5, ntyp = 4
/
ATOMIC_SPECIES
Rb 85.47 Rb.upf
Bi 208.98 Bi.upf
I 126.90 I.upf
O 16.00 O.upf
CELL_PARAMETERS angstrom
4.953 0.000 0.000
0.000 4.953 0.000
0.000 0.000 6.992
ATOMIC_POSITIONS crystal
Rb 0.000 0.000 0.000
Bi 0.500 0.500 0.500
I 0.000 0.000 0.500
O 0.000 0.500 0.000
O 0.500 0.000 0.000

Last place for stability: x

w | ! ReBiI2O (PBE-GGA, optimized geometry); values from VASP
! Size of the total moment = 0.0 μB/f.u.
! Space group = P4/mmm, No. 123
&SYSTEM
  ibrav = 0, nat = 5, ntyp = 4
/
ATOMIC_SPECIES
Re 186.21 Re.upf
Bi 208.98 Bi.upf
I 126.90 I.upf
O 16.00 O.upf
CELL_PARAMETERS angstrom
5.732 0.000 0.000
0.000 5.732 0.000
0.000 0.000 3.785
ATOMIC_POSITIONS crystal
Re 0.000 0.000 0.000
Bi 0.500 0.500 0.500
I 0.000 0.500 0.000
I 0.500 0.000 0.000
O 0.000 0.000 0.500

x | ! ReBiI2O (PBE-GGA, optimized geometry); values from VASP
! Size of the total moment = 5.9 μB/f.u.
! Space group = P4/mmm, No. 123
&SYSTEM
  ibrav = 0, nat = 5, ntyp = 4
/
ATOMIC_SPECIES
Re 186.21 Re.upf
Bi 208.98 Bi.upf
I 126.90 I.upf
O 16.00 O.upf
CELL_PARAMETERS angstrom
6.320 0.000 0.000
0.000 6.320 0.000
0.000 0.000 4.326
ATOMIC_POSITIONS crystal
Re 0.000 0.000 0.000
Bi 0.500 0.500 0.500
I 0.000 0.500 0.500
I 0.500 0.000 0.500
O 0.500 0.500 0.000

Last place for stability: x

w | ! BiRhIO2 (PBE-GGA, optimized geometry); values from VASP
! Size of the total moment = 1.3 μB/f.u.
! Space group = P4/mmm, No. 123
&SYSTEM
  ibrav = 0, nat = 5, ntyp = 4
/
ATOMIC_SPECIES
Bi 208.98 Bi.upf
Rh 102.91 Rh.upf
I 126.90 I.upf
O 16.00 O.upf
CELL_PARAMETERS angstrom
4.167 0.000 0.000
0.000 4.167 0.000
0.000 0.000 6.872
ATOMIC_POSITIONS crystal
Bi 0.000 0.000 0.000
Rh 0.500 0.500 0.500
I 0.000 0.000 0.500
O 0.000 0.500 0.000
O 0.500 0.000 0.000

x | ! BiRhIO2 (PBE-GGA, optimized geometry); values from VASP
! Size of the total moment = 0.0 μB/f.u.
! Space group = P4/mmm, No. 123
&SYSTEM
  ibrav = 0, nat = 5, ntyp = 4
/
ATOMIC_SPECIES
Bi 208.98 Bi.upf
Rh 102.91 Rh.upf
I 126.90 I.upf
O 16.00 O.upf
CELL_PARAMETERS angstrom
4.286 0.000 0.000
0.000 4.286 0.000
0.000 0.000 5.076
ATOMIC_POSITIONS crystal
Bi 0.000 0.000 0.000
Rh 0.500 0.500 0.500
I 0.500 0.500 0.000
O 0.000 0.500 0.500
O 0.500 0.000 0.500

Last place for stability: x

w | ! BiRuIO2 (PBE-GGA, optimized geometry); values from VASP
! Size of the total moment = 2.5 μB/f.u.
! Space group = P4/mmm, No. 123
&SYSTEM
  ibrav = 0, nat = 5, ntyp = 4
/
ATOMIC_SPECIES
Bi 208.98 Bi.upf
Ru 101.07 Ru.upf
I 126.90 I.upf
O 16.00 O.upf
CELL_PARAMETERS angstrom
4.180 0.000 0.000
0.000 4.180 0.000
0.000 0.000 7.013
ATOMIC_POSITIONS crystal
Bi 0.000 0.000 0.000
Ru 0.500 0.500 0.500
I 0.000 0.000 0.500
O 0.000 0.500 0.000
O 0.500 0.000 0.000

x | ! BiRuIO2 (PBE-GGA, optimized geometry); values from VASP
! Size of the total moment = 1.6 μB/f.u.
! Space group = P4/mmm, No. 123
&SYSTEM
  ibrav = 0, nat = 5, ntyp = 4
/
ATOMIC_SPECIES
Bi 208.98 Bi.upf
Ru 101.07 Ru.upf
I 126.90 I.upf
O 16.00 O.upf
CELL_PARAMETERS angstrom
4.207 0.000 0.000
0.000 4.207 0.000
0.000 0.000 5.300
ATOMIC_POSITIONS crystal
Bi 0.000 0.000 0.000
Ru 0.500 0.500 0.500
I 0.500 0.500 0.000
O 0.000 0.500 0.500
O 0.500 0.000 0.500

Last place for stability: w

w | ! BiSI2O (PBE-GGA, optimized geometry); values from VASP
! Size of the total moment = 0.0 μB/f.u.
! Space group = P4/mmm, No. 123
&SYSTEM
  ibrav = 0, nat = 5, ntyp = 4
/
ATOMIC_SPECIES
Bi 208.98 Bi.upf
S 32.06 S.upf
I 126.90 I.upf
O 16.00 O.upf
CELL_PARAMETERS angstrom
5.945 0.000 0.000
0.000 5.945 0.000
0.000 0.000 3.641
ATOMIC_POSITIONS crystal
Bi 0.000 0.000 0.000
S 0.500 0.500 0.500
I 0.000 0.500 0.500
I 0.500 0.000 0.500
O 0.500 0.500 0.000

x | ! BiSI2O (PBE-GGA, optimized geometry); values from VASP
! Size of the total moment = 2.6 μB/f.u.
! Space group = P4/mmm, No. 123
&SYSTEM
  ibrav = 0, nat = 5, ntyp = 4
/
ATOMIC_SPECIES
Bi 208.98 Bi.upf
S 32.06 S.upf
I 126.90 I.upf
O 16.00 O.upf
CELL_PARAMETERS angstrom
6.267 0.000 0.000
0.000 6.267 0.000
0.000 0.000 4.278
ATOMIC_POSITIONS crystal
Bi 0.000 0.000 0.000
S 0.500 0.500 0.500
I 0.000 0.500 0.000
I 0.500 0.000 0.000
O 0.000 0.000 0.500

Last place for stability: x

w | ! SiBiI2O (PBE-GGA, optimized geometry); values from VASP
! Size of the total moment = 1.0 μB/f.u.
! Space group = P4/mmm, No. 123
&SYSTEM
  ibrav = 0, nat = 5, ntyp = 4
/
ATOMIC_SPECIES
Si 28.09 Si.upf
Bi 208.98 Bi.upf
I 126.90 I.upf
O 16.00 O.upf
CELL_PARAMETERS angstrom
6.253 0.000 0.000
0.000 6.253 0.000
0.000 0.000 4.284
ATOMIC_POSITIONS crystal
Si 0.000 0.000 0.000
Bi 0.500 0.500 0.500
I 0.000 0.500 0.500
I 0.500 0.000 0.500
O 0.500 0.500 0.000

x | ! SiBiI2O (PBE-GGA, optimized geometry); values from VASP
! Size of the total moment = 0.0 μB/f.u.
! Space group = P4/mmm, No. 123
&SYSTEM
  ibrav = 0, nat = 5, ntyp = 4
/
ATOMIC_SPECIES
Si 28.09 Si.upf
Bi 208.98 Bi.upf
I 126.90 I.upf
O 16.00 O.upf
CELL_PARAMETERS angstrom
5.929 0.000 0.000
0.000 5.929 0.000
0.000 0.000 3.567
ATOMIC_POSITIONS crystal
Si 0.000 0.000 0.000
Bi 0.500 0.500 0.500
I 0.000 0.500 0.000
I 0.500 0.000 0.000
O 0.000 0.000 0.500

Last place for stability: w

w | ! SnBiI2O (PBE-GGA, optimized geometry); values from VASP
! Size of the total moment = 0.6 μB/f.u.
! Space group = P4/mmm, No. 123
&SYSTEM
  ibrav = 0, nat = 5, ntyp = 4
/
ATOMIC_SPECIES
Sn 118.71 Sn.upf
Bi 208.98 Bi.upf
I 126.90 I.upf
O 16.00 O.upf
CELL_PARAMETERS angstrom
6.336 0.000 0.000
0.000 6.336 0.000
0.000 0.000 4.308
ATOMIC_POSITIONS crystal
Sn 0.000 0.000 0.000
Bi 0.500 0.500 0.500
I 0.000 0.500 0.500
I 0.500 0.000 0.500
O 0.500 0.500 0.000

x | ! SnBiI2O (PBE-GGA, optimized geometry); values from VASP
! Size of the total moment = 0.0 μB/f.u.
! Space group = P4/mmm, No. 123
&SYSTEM
  ibrav = 0, nat = 5, ntyp = 4
/
ATOMIC_SPECIES
Sn 118.71 Sn.upf
Bi 208.98 Bi.upf
I 126.90 I.upf
O 16.00 O.upf
CELL_PARAMETERS angstrom
6.237 0.000 0.000
0.000 6.237 0.000
0.000 0.000 4.016
ATOMIC_POSITIONS crystal
Sn 0.000 0.000 0.000
Bi 0.500 0.500 0.500
I 0.000 0.500 0.000
I 0.500 0.000 0.000
O 0.000 0.000 0.500

Last place for stability: w

w | ! TaBiIO2 (PBE-GGA, optimized geometry); values from VASP
! Size of the total moment = 3.7 μB/f.u.
! Space group = P4/mmm, No. 123
&SYSTEM
  ibrav = 0, nat = 5, ntyp = 4
/
ATOMIC_SPECIES
Ta 180.95 Ta.upf
Bi 208.98 Bi.upf
I 126.90 I.upf
O 16.00 O.upf
CELL_PARAMETERS angstrom
4.236 0.000 0.000
0.000 4.236 0.000
0.000 0.000 7.278
ATOMIC_POSITIONS crystal
Ta 0.000 0.000 0.000
Bi 0.500 0.500 0.500
I 0.500 0.500 0.000
O 0.000 0.500 0.500
O 0.500 0.000 0.500

x | ! TaBiIO2 (PBE-GGA, optimized geometry); values from VASP
! Size of the total moment = 0.0 μB/f.u.
! Space group = P4/mmm, No. 123
&SYSTEM
  ibrav = 0, nat = 5, ntyp = 4
/
ATOMIC_SPECIES
Ta 180.95 Ta.upf
Bi 208.98 Bi.upf
I 126.90 I.upf
O 16.00 O.upf
CELL_PARAMETERS angstrom
4.112 0.000 0.000
0.000 4.112 0.000
0.000 0.000 6.283
ATOMIC_POSITIONS crystal
Ta 0.000 0.000 0.000
Bi 0.500 0.500 0.500
I 0.000 0.000 0.500
O 0.000 0.500 0.000
O 0.500 0.000 0.000

Last place for stability: w